VASP calculation (PBE+U) on Rb3Mo2PbO8 after structural relaxation.

The structure belongs to space group P-3m1 (No. 164); the cell edges are 6.3784, 6.3784 and 8.2234 Å and the angles 90.00°, 90.00° and 120.00°. Symmetry generates all atoms from Rb at (0.0000, 0.0000, 0.0000), Rb at (0.3333, 0.6667, 0.6701), Mo at (0.3333, 0.6667, 0.2176), Pb at (0.0000, 0.0000, 0.5000), O at (0.1781, 0.3562, 0.2994) and O at (0.3333, 0.6667, 0.0008).

As for the spin magnetization: 1.0 μB per formula unit. For the total energy, the calculation gives -83.5 eV for the cell shown. The value obtained for the density of states at the Fermi level is 4.86 states/eV per cell.